V3Ga4W PBE optimized geometry; calculated formation energy = -0.053 eV per atom
1.0
8.060 0.000 0.000
0.000 5.346 0.000
0.000 0.000 5.381
V Ga W
6 8 2
direct
0.000 0.003 0.000
0.243 0.748 0.287
0.257 0.252 0.787
0.500 0.997 0.500
0.743 0.252 0.787
0.757 0.748 0.287
0.000 0.001 0.513
0.000 0.500 0.058
0.242 0.244 0.286
0.258 0.756 0.786
0.500 0.500 0.558
0.500 0.999 0.013
0.742 0.756 0.786
0.758 0.244 0.286
0.000 0.499 0.568
0.500 0.501 0.068

=====

Ac3Si2Ge PBE optimized geometry; formation energy from raw total energies = -0.394 eV per atom; relative energy among the computed polymorphs = 125 meV per atom
1.0
2.624 -7.848 0.000
2.624 7.848 0.000
0.000 0.000 4.189
Ac Si Ge
3 2 1
direct
0.000 0.000 0.000
0.331 0.669 0.000
0.669 0.331 0.000
0.165 0.835 0.500
0.835 0.165 0.500
0.500 0.500 0.500

=====

InGa2S PBE optimized geometry; formation energy from raw total energies = 0.120 eV per atom; relative energy among the computed polymorphs = 235 meV per atom
1.0
0.000 3.522 3.522
3.522 0.000 3.522
3.522 3.522 0.000
In Ga S
1 2 1
direct
0.000 0.000 0.000
0.250 0.250 0.250
0.750 0.750 0.750
0.500 0.500 0.500